A relaxed K2NaZnCl5 crystal. Source: Alexandria via LeMat-Bulk, functional PBE.

Cell lengths 4.005, 19.159, 13.218 Å; angles 90.00, 90.00, 90.00 degrees
Space group Cmc2_1 (No. 36)
Symmetry-distinct sites (fractional):
K 0.000 0.129 0.000
K 0.000 0.134 0.641
Na 0.000 0.213 0.353
Zn 0.000 0.441 0.745
Cl 0.000 0.040 0.337
Cl 0.000 0.295 0.993
Cl 0.000 0.325 0.702
Cl 0.000 0.353 0.323
Cl 0.000 0.499 0.597

Computed properties:
E = -115.35 eV/cell
crystal system = orthorhombic

A relaxed HoTmPt4 crystal. Source: Alexandria via LeMat-Bulk, functional PBE.

Cell lengths 7.660, 7.660, 7.660 Å; angles 90.00, 90.00, 90.00 degrees
Space group F-43m (No. 216)
Symmetry-distinct sites (fractional):
Ho 0.000 0.000 0.000
Tm 0.250 0.250 0.750
Pt 0.125 0.125 0.375

Computed properties:
E = -159.90 eV/cell
excess energy over the best structure of this formula in the dataset = 0.000 eV per atom
crystal system = cubic

A relaxed Rb2CaZnAs2 crystal. Source: Alexandria via LeMat-Bulk, functional PBE.

Cell lengths 6.816, 15.895, 6.941 Å; angles 90.00, 90.00, 90.00 degrees
Space group Ibam (No. 72)
Symmetry-distinct sites (fractional):
Rb 0.228 0.178 0.000
Ca 0.000 0.500 0.250
Zn 0.000 0.000 0.250
As 0.221 0.088 0.500

Computed properties:
E = -72.87 eV/cell
crystal system = orthorhombic

A relaxed CdIn6Sn5 crystal. Source: Alexandria via LeMat-Bulk, functional PBE.

Cell lengths 4.927, 9.237, 14.288 Å; angles 90.00, 90.00, 90.00 degrees
Space group Immm (No. 71)
Symmetry-distinct sites (fractional):
Cd 0.000 0.000 0.000
In 0.000 0.247 0.165
In 0.000 0.257 0.500
Sn 0.000 0.000 0.336
Sn 0.000 0.500 0.000
Sn 0.000 0.500 0.329

Computed properties:
E = -73.92 eV/cell
crystal system = orthorhombic

A relaxed PmHoTlAu crystal. Source: Alexandria via LeMat-Bulk, functional PBE.

Cell lengths 3.655, 3.655, 7.820 Å; angles 90.00, 90.00, 90.00 degrees
Space group P4mm (No. 99)
Symmetry-distinct sites (fractional):
Pm 0.000 0.000 0.000
Ho 0.000 0.000 0.460
Tl 0.500 0.500 0.725
Au 0.500 0.500 0.257

Computed properties:
E = -17.39 eV/cell
excess energy over the best structure of this formula in the dataset = 0.000 eV per atom
crystal system = tetragonal

A relaxed InRe2Os crystal. Source: Alexandria via LeMat-Bulk, functional PBE.

Cell lengths 5.331, 8.406, 2.854 Å; angles 90.00, 90.25, 90.00 degrees
Space group C2/m (No. 12)
Symmetry-distinct sites (fractional):
In 0.000 0.000 0.000
Re 0.250 0.250 0.500
Os 0.000 0.500 0.000

Computed properties:
E = -72.94 eV/cell
crystal system = monoclinic

A relaxed MgTe crystal. Source: Alexandria via LeMat-Bulk, functional PBE.

Cell lengths 11.872, 11.872, 4.597 Å; angles 90.00, 90.00, 90.00 degrees
Space group I4/m (No. 87)
Symmetry-distinct sites (fractional):
Mg 0.132 0.707 0.000
Te 0.103 0.278 0.000

Computed properties:
E = -50.76 eV/cell
crystal system = tetragonal

A relaxed Zr5AlAu crystal. Source: Alexandria via LeMat-Bulk, functional PBE.

Cell lengths 7.746, 7.940, 10.137 Å; angles 90.00, 99.90, 90.00 degrees
Space group C2/c (No. 15)
Symmetry-distinct sites (fractional):
Zr 0.000 0.124 0.250
Zr 0.129 0.375 0.518
Zr 0.201 0.220 0.836
Al 0.000 0.482 0.250
Au 0.000 0.000 0.000

Computed properties:
E = -202.28 eV/cell
crystal system = monoclinic

A relaxed CaCe2Pt9 crystal. Source: Alexandria via LeMat-Bulk, functional PBE.

Cell lengths 5.4467, 5.4467, 26.7673 Å; angles 90.00, 90.00, 120.00 degrees
Space group R-3m (No. 166, hexagonal axes)
Symmetry-distinct sites (fractional):
Ca 0.0000 0.0000 0.0000
Ce 0.0000 0.0000 0.1389
Pt 0.0000 0.0000 0.3325
Pt 0.0000 0.0000 0.5000
Pt 0.0041 0.5021 0.9152

Computed properties:
E = -234.94 eV/cell
crystal system = trigonal

A relaxed Th2UAu6 crystal. Source: Alexandria via LeMat-Bulk, functional PBE.

Cell lengths 8.3633, 8.3633, 3.3170 Å; angles 90.00, 90.00, 120.00 degrees
Space group P6/mmm (No. 191)
Symmetry-distinct sites (fractional):
Th 0.3333 0.6667 0.0000
U 0.0000 0.0000 0.0000
Au 0.0000 0.3317 0.5000

Computed properties:
E = -50.72 eV/cell
crystal system = hexagonal

A relaxed PrPa2Ni9 crystal. Source: Alexandria via LeMat-Bulk, functional PBE.

Cell lengths 4.9558, 4.9558, 24.6824 Å; angles 90.00, 90.00, 120.00 degrees
Space group R-3m (No. 166, hexagonal axes)
Symmetry-distinct sites (fractional):
Pr 0.0000 0.0000 0.0000
Pa 0.0000 0.0000 0.1398
Ni 0.0000 0.0000 0.3330
Ni 0.0000 0.0000 0.5000
Ni 0.0014 0.5007 0.9160

Computed properties:
E = -240.91 eV/cell
crystal system = trigonal

A relaxed SrNd2IrO8 crystal. Source: Alexandria via LeMat-Bulk, functional PBE.

Cell lengths 4.466, 5.188, 7.226 Å; angles 90.17, 105.96, 90.70 degrees
Space group P-1 (No. 2)
Symmetry-distinct sites (fractional):
Sr 0.000 0.000 0.000
Nd 0.384 0.493 0.713
Ir 0.000 0.000 0.500
O 0.170 0.709 0.396
O 0.213 0.232 0.380
O 0.231 0.502 0.997
O 0.339 0.005 0.745

Computed properties:
E = -84.15 eV/cell
crystal system = triclinic